DFT (GGA-PBE) results for an optimized crystal structure of Pa6SbAs5.

a = 7.169 Å, b = 7.169 Å, c = 7.170 Å
α = 99.61°, β = 99.61°, γ = 119.97°
Positions (direct):
Pa 0.067 0.413 0.740
Pa 0.237 0.237 0.254
Pa 0.413 0.067 0.740
Pa 0.587 0.933 0.260
Pa 0.763 0.763 0.746
Pa 0.933 0.587 0.260
Sb 0.500 0.500 0.000
As 0.000 0.000 0.500
As 0.168 0.832 0.000
As 0.341 0.659 0.500
As 0.659 0.341 0.500
As 0.832 0.168 0.000

Results
The calculation puts the total energy at -7.970 eV/atom.

---

DFT (GGA-PBE) results for an optimized crystal structure of AlAgAs2N.

a = 4.738 Å, b = 4.738 Å, c = 3.694 Å
α = 90.00°, β = 90.00°, γ = 90.00°
Positions (direct):
Al 0.000 0.000 0.000
Ag 0.500 0.500 0.000
As 0.000 0.500 0.500
As 0.500 0.000 0.500
N 0.000 0.000 0.500

Results
The calculation puts the total energy at -4.465 eV/atom.

---

DFT (GGA-PBE) results for an optimized crystal structure of GaIrPd.

a = 11.044 Å, b = 11.044 Å, c = 11.044 Å
α = 164.83°, β = 164.83°, γ = 21.51°
Positions (direct):
Ga 0.132 0.132 0.000
Ga 0.868 0.868 0.000
Ir 0.294 0.294 0.000
Ir 0.706 0.706 0.000
Pd 0.440 0.440 0.000
Pd 0.560 0.560 0.000

Results
The formation energy comes out at -265 meV/atom.

---

| no. | calculated volume (A^3/atom) | ρ (g/cm³) | magnetization (μB/f.u.) |
| --- | --- | --- | --- |
| 1 | 25.07 | 10.4 | 0.0 |
| 2 | 16.58 | 6.0 | 0.0 |
| 3 | 15.37 | 13.3 | 0.0 |